Record 1
13
Lattice="2.871 1.657 7.098 -2.871 1.657 7.098 0.000 -3.315 7.098" Properties=species:S:1:pos:R:3 comment="Ac3Tc2N8 (PBE, relaxed)" vol_a3_per_atom=15.59 density_g_cm3=8.105 e_tot_ev_per_atom=-8.292 crystal_system=trigonal magnetic_moment_mub_per_atom=0.075 pbc="T T T"
Ac 0.000 0.000 0.000
Ac 0.000 0.000 4.359
Ac 0.000 0.000 16.934
Tc 0.000 0.000 8.664
Tc 0.000 0.000 12.629
N -1.474 -0.851 12.000
N 0.000 -1.702 9.293
N -1.474 0.851 9.293
N 0.000 0.000 6.861
N 0.000 0.000 14.432
N 1.474 -0.851 12.000
N 0.000 1.702 12.000
N 1.474 0.851 9.293

Record 2
12
Lattice="4.645 0.000 0.000 0.000 16.904 0.000 0.000 0.000 4.554" Properties=species:S:1:pos:R:3 comment="PmPb2 (PBE, relaxed)" vol_a3_per_atom=29.80 density_g_cm3=10.391 polymorph_energy_mev_per_atom=0 crystal_system=orthorhombic magnetic_moment_mub_per_atom=0.004 pbc="T T T"
Pm 0.000 1.630 1.139
Pm 0.000 15.273 3.416
Pm 2.322 6.821 3.416
Pm 2.322 10.082 1.139
Pb 0.000 4.245 3.416
Pb 0.000 7.326 1.139
Pb 0.000 9.577 3.416
Pb 0.000 12.659 1.139
Pb 2.322 1.126 3.416
Pb 2.322 4.207 1.139
Pb 2.322 12.697 3.416
Pb 2.322 15.778 1.139

- What is the formula in the first record?
  Ac3Tc2N8